[1]
Material: SrSmHoMg
Method: DFT, PBE
State: relaxed

Output
The calculation puts the magnetization at 0.00 μB/cell. As for the density of states at the Fermi level: 2.92 states/eV/f.u. Its space group is F-43m (216). As for the calculated total energy: -3.00 eV per atom. Its calculated formation energy is 0.144 eV/atom.

```
4
Lattice="-5.136 1.751 -1.914 -3.710 -3.816 -2.184 -4.772 -1.363 2.910" Properties=species:S:1:pos:R:3 pbc="T T T"
Sr -6.809 -1.714 -0.594
Mg -10.214 -2.571 -0.891
Ho -3.405 -0.857 -0.297
Sm 0.000 0.000 0.000
```

[2]
Material: Tb2SmHo4Mg
Method: DFT, PBE
State: relaxed

Output
The calculation puts the magnetization at 0.00 μB/cell. As for the density of states at the Fermi level: 11.66 states/eV/f.u. Its space group is P4/mmm (123). As for the calculated total energy: -4.21 eV per atom. Its calculated formation energy is 0.023 eV/atom.

```
8
Lattice="-3.275 2.241 -2.945 -3.054 -3.870 0.452 -7.312 0.424 8.454" Properties=species:S:1:pos:R:3 pbc="T T T"
Tb -7.312 0.424 8.454
Tb -5.293 1.332 2.755
Sm -3.164 -0.815 -1.247
Ho -7.759 -2.599 6.651
Ho -5.881 1.394 -0.690
Ho -5.770 -1.662 1.006
Ho -7.871 0.456 4.955
Mg -5.183 -1.723 4.453
```

[3]
Material: TbSm6Ho2Mg
Method: DFT, PBE
State: relaxed

Output
The calculation puts the magnetization at 0.00 μB/cell. As for the density of states at the Fermi level: 13.56 states/eV/f.u. Its space group is C2/c (15). As for the calculated total energy: -4.25 eV per atom. Its calculated formation energy is 0.121 eV/atom.

```
20
Lattice="8.812 -1.899 -1.971 1.037 8.609 -2.042 1.037 -2.359 8.527" Properties=species:S:1:pos:R:3 pbc="T T T"
Tb 3.240 7.847 -2.258
Tb 7.646 -3.497 6.772
Sm 1.412 -0.806 6.269
Sm 5.067 -0.994 6.073
Sm 9.473 5.156 -1.754
Sm 5.818 5.345 -1.559
Sm 3.099 -1.560 3.110
Sm 3.380 2.134 6.944
Sm 7.786 5.910 1.405
Sm 7.505 2.216 -2.429
Sm 2.173 4.817 2.536
Sm 4.306 2.944 0.592
Sm 8.712 -0.467 1.979
Sm 6.579 1.406 3.922
Ho 5.485 4.350 3.336
Ho 0.994 2.127 1.029
Ho 5.400 0.000 1.178
Ho 9.891 2.223 3.485
Mg 3.240 1.768 3.600
Mg 7.646 2.582 0.915
```

[4]
Material: Tb6SmHo2Mg
Method: DFT, PBE
State: relaxed

Output
The calculation puts the magnetization at 0.00 μB/cell. As for the density of states at the Fermi level: 16.20 states/eV/f.u. Its space group is C2/c (15). As for the calculated total energy: -4.21 eV per atom. Its calculated formation energy is 0.113 eV/atom.

```
20
Lattice="-3.646 2.853 4.708 1.673 -7.991 7.219 5.479 9.414 -0.379" Properties=species:S:1:pos:R:3 pbc="T T T"
Tb 4.328 6.904 0.430
Tb 3.707 8.319 3.361
Tb -0.822 -2.629 11.118
Tb -0.202 -4.044 8.187
Tb 2.877 -2.430 7.770
Tb 0.617 -3.108 5.086
Tb 0.628 6.705 3.778
Tb 2.888 7.383 6.463
Tb 3.956 -0.523 4.903
Tb 0.738 0.467 5.559
Tb -0.450 4.798 6.645
Tb 2.768 3.808 5.989
Sm 0.797 -7.112 8.324
Sm 2.708 11.388 3.224
Ho 3.119 1.022 8.077
Ho -2.081 1.737 7.110
Ho 0.386 3.253 3.471
Ho 5.586 2.539 4.438
Mg 3.450 5.020 3.027
Mg 0.055 -0.744 8.521
```

[5]
Material: Tb6Sm2Ho3Mg
Method: DFT, PBE
State: relaxed

Output
The calculation puts the magnetization at 0.00 μB/cell. As for the density of states at the Fermi level: 15.90 states/eV/f.u. Its space group is C2/m (12). As for the calculated total energy: -4.36 eV per atom. Its calculated formation energy is 0.020 eV/atom.

```
12
Lattice="-4.979 3.548 -0.443 1.916 -3.220 -4.851 -5.586 -8.981 5.053" Properties=species:S:1:pos:R:3 pbc="T T T"
Tb -7.627 -5.357 0.541
Tb -3.709 -2.018 -2.703
Tb -1.021 -3.296 -0.782
Tb -5.339 -7.603 -0.922
Tb -4.939 -6.635 2.462
Tb -3.309 -1.050 0.681
Sm -0.384 -0.963 -3.381
Sm -2.679 1.291 -1.913
Ho -2.020 -6.588 -1.594
Ho -6.628 -2.065 1.352
Ho -4.324 -4.326 -0.121
Mg 0.000 0.000 0.000
```

[6]
Material: TbSm2Ho5Mg
Method: DFT, PBE
State: relaxed

Output
The calculation puts the magnetization at 0.00 μB/cell. As for the density of states at the Fermi level: 12.56 states/eV/f.u. Its space group is Cmc2_1 (36). As for the calculated total energy: -4.18 eV per atom. Its calculated formation energy is 0.100 eV/atom.

```
18
Lattice="5.417 0.000 0.000 -2.709 10.040 0.000 0.000 0.000 10.455" Properties=species:S:1:pos:R:3 pbc="T T T"
Tb 2.709 5.907 5.315
Tb 0.000 4.133 0.088
Sm 2.709 7.727 8.337
Sm 0.000 2.312 7.526
Sm 0.000 2.313 3.109
Sm 2.709 7.727 2.298
Ho 0.000 7.696 0.089
Ho 2.709 4.237 8.459
Ho 0.000 10.031 7.924
Ho 0.000 5.815 7.396
Ho 2.709 9.771 5.317
Ho 2.709 2.343 5.317
Ho 0.000 5.802 3.231
Ho 2.709 0.009 2.696
Ho 2.709 4.225 2.169
Ho 0.000 0.269 0.089
Mg 2.709 1.908 0.073
Mg 0.000 8.132 5.300
```

[7]
Material: Tb5SmHo2Mg
Method: DFT, PBE
State: relaxed

Output
The calculation puts the magnetization at 0.00 μB/cell. As for the density of states at the Fermi level: 11.84 states/eV/f.u. Its space group is Cmc2_1 (36). As for the calculated total energy: -4.19 eV per atom. Its calculated formation energy is 0.104 eV/atom.

```
18
Lattice="5.424 0.000 0.000 -2.712 10.000 0.000 0.000 0.000 10.572" Properties=species:S:1:pos:R:3 pbc="T T T"
Tb 0.000 7.682 0.089
Tb 2.712 4.201 8.528
Tb 0.000 9.995 8.013
Tb 0.000 5.808 7.506
Tb 2.712 9.725 5.375
Tb 2.712 2.318 5.375
Tb 0.000 5.800 3.242
Tb 2.712 0.005 2.727
Tb 2.712 4.192 2.220
Tb 0.000 0.276 0.089
Sm 2.712 5.874 5.375
Sm 0.000 4.126 0.089
Ho 2.712 7.716 8.416
Ho 0.000 2.285 7.622
Ho 0.000 2.285 3.130
Ho 2.712 7.715 2.336
Mg 2.712 1.895 0.077
Mg 0.000 8.105 5.363
```

[8]
Material: TbSm2Ho2Mg5
Method: DFT, PBE
State: relaxed

Output
The calculation puts the magnetization at 0.00 μB/cell. As for the density of states at the Fermi level: 6.97 states/eV/f.u. Its space group is P4/mbm (127). As for the calculated total energy: -3.07 eV per atom. Its calculated formation energy is 0.047 eV/atom.

```
20
Lattice="5.080 0.000 0.000 0.000 10.602 0.000 0.000 0.000 10.602" Properties=species:S:1:pos:R:3 pbc="T T T"
Tb 0.000 0.000 0.000
Tb 0.000 5.301 5.301
Sm 0.000 7.182 1.881
Sm 0.000 3.420 8.722
Sm 0.000 1.881 3.420
Sm 0.000 8.722 7.182
Ho 0.000 1.266 6.567
Ho 0.000 9.336 4.035
Ho 0.000 6.567 9.336
Ho 0.000 4.035 1.266
Mg 2.540 2.100 0.742
Mg 2.540 8.502 9.860
Mg 2.540 0.742 8.502
Mg 2.540 7.401 4.559
Mg 2.540 9.860 2.100
Mg 2.540 3.201 6.043
Mg 2.540 6.043 7.401
Mg 2.540 4.559 3.201
Mg 2.540 5.301 0.000
Mg 2.540 0.000 5.301
```